Material: La4Ge2I3
Method: DFT, GGA-PBE
State: relaxed

extended XYZ file:
```
9
Lattice="3.883 -2.241 0.000 3.883 2.241 0.000 -0.050 0.000 19.229" Properties=species:S:1:pos:R:3 pbc="T T T"
La -0.001 0.000 5.544
La 2.588 0.000 2.269
La 5.127 0.000 16.959
La 7.716 0.000 13.685
Ge 2.540 0.000 15.393
Ge 5.175 0.000 3.836
I 0.000 0.000 0.000
I 2.589 0.000 7.602
I 5.126 0.000 11.627
```

Results
raw formation energy: -1.209 eV/atom
N(E_F): 3.7 states/eV per cell
total magnetic moment: 0.0 μB/cell
energy relative to the lowest polymorph listed for this composition: 0.00 eV per formula unit



Material: Ba2SnTe5
Method: DFT, GGA-PBE
State: relaxed

extended XYZ file:
```
32
Lattice="6.956 0.000 0.000 0.000 24.759 0.000 0.000 0.000 7.029" Properties=species:S:1:pos:R:3 pbc="T T T"
Ba 0.057 2.485 0.076
Ba 0.057 9.894 0.076
Ba 3.421 14.864 3.590
Ba 3.421 22.274 3.590
Ba 3.535 2.485 3.439
Ba 3.535 9.894 3.439
Ba 6.899 14.864 6.954
Ba 6.899 22.274 6.954
Sn 0.680 18.569 4.111
Sn 2.798 6.190 0.597
Sn 4.158 18.569 6.433
Sn 6.277 6.190 2.918
Te 0.042 18.569 6.894
Te 0.080 3.593 3.631
Te 0.080 8.786 3.631
Te 1.008 0.082 4.523
Te 1.008 12.298 4.523
Te 2.471 12.461 1.009
Te 2.471 24.677 1.009
Te 3.399 15.972 0.116
Te 3.399 21.166 0.116
Te 3.437 6.190 3.379
Te 3.520 18.569 3.650
Te 3.558 3.593 6.913
Te 3.558 8.786 6.913
Te 4.486 0.082 6.020
Te 4.486 12.298 6.020
Te 5.949 12.461 2.506
Te 5.949 24.677 2.506
Te 6.877 15.972 3.398
Te 6.877 21.166 3.398
Te 6.915 6.190 0.136
```

Results
raw formation energy: -0.971 eV/atom
N(E_F): 5.8 states/eV per cell
total magnetic moment: 0.0 μB/cell
energy relative to the lowest polymorph listed for this composition: 0.00 eV per formula unit



Material: Sm4ErRh5
Method: DFT, GGA-PBE
State: relaxed

extended XYZ file:
```
10
Lattice="3.450 0.000 0.000 0.000 3.450 0.000 0.000 0.000 17.697" Properties=species:S:1:pos:R:3 pbc="T T T"
Sm 0.000 0.000 1.791
Sm 0.000 0.000 5.366
Sm 0.000 0.000 12.331
Sm 0.000 0.000 15.906
Er 0.000 0.000 8.848
Rh 1.725 1.725 0.000
Rh 1.725 1.725 3.583
Rh 1.725 1.725 7.184
Rh 1.725 1.725 10.512
Rh 1.725 1.725 14.113
```

Results
N(E_F): 8.3 states/eV per cell
formation energy from the elements: -0.750 eV/atom
total magnetic moment: 0.0 μB/cell



Material: CsTlHg2Au
Method: DFT, GGA-PBE
State: relaxed

extended XYZ file:
```
5
Lattice="5.603 0.000 0.000 0.000 5.603 0.000 0.000 0.000 5.684" Properties=species:S:1:pos:R:3 pbc="T T T"
Cs 0.000 0.000 0.000
Tl 2.801 2.801 0.000
Hg 0.000 2.801 2.842
Hg 2.801 0.000 2.842
Au 2.801 2.801 2.842
```

Results
N(E_F): 2.7 states/eV per cell
formation energy from the elements: -0.108 eV/atom
total magnetic moment: 0.0 μB/cell
energy relative to the lowest polymorph listed for this composition: 0.36 eV per formula unit



Material: TmFe2Si3
Method: DFT, GGA-PBE
State: relaxed

extended XYZ file:
```
12
Lattice="4.568 -3.601 0.000 4.568 3.601 0.000 0.000 0.000 5.168" Properties=species:S:1:pos:R:3 pbc="T T T"
Tm 4.568 2.464 3.876
Tm 4.568 -2.464 1.292
Fe 2.704 0.000 0.000
Fe 2.704 0.000 2.584
Fe 6.432 0.000 0.000
Fe 6.432 0.000 2.584
Si 2.892 2.057 1.292
Si 6.245 2.057 1.292
Si 4.568 0.394 1.292
Si 4.568 -0.394 3.876
Si 2.892 -2.057 3.876
Si 6.245 -2.057 3.876
```

Results
raw formation energy: -0.586 eV/atom
N(E_F): 7.7 states/eV per cell
total magnetic moment: 0.0 μB/cell



Material: LiThHg3
Method: DFT, GGA-PBE
State: relaxed

extended XYZ file:
```
10
Lattice="11.668 -2.175 0.000 11.668 2.175 0.000 -0.935 0.000 4.604" Properties=species:S:1:pos:R:3 pbc="T T T"
Li 3.000 0.000 1.814
Li 19.401 0.000 2.790
Th 9.573 0.000 0.769
Th 12.828 0.000 3.835
Hg 0.577 0.000 1.316
Hg 3.705 0.000 4.354
Hg 6.474 0.000 2.538
Hg 15.927 0.000 2.066
Hg 18.696 0.000 0.250
Hg 21.824 0.000 3.288
```

Results
N(E_F): 9.1 states/eV per cell
formation energy from the elements: -0.163 eV/atom
total magnetic moment: 0.0 μB/cell



Material: Tb9Sm2Y3
Method: DFT, GGA-PBE
State: relaxed

extended XYZ file:
```
14
Lattice="8.141 -2.817 0.000 8.141 2.817 0.000 -3.049 0.000 10.000" Properties=species:S:1:pos:R:3 pbc="T T T"
Tb 0.000 0.000 0.000
Tb -2.071 0.000 6.884
Tb 1.155 0.000 5.451
Tb 0.599 0.000 8.993
Tb 6.836 0.000 8.771
Tb 9.267 0.000 2.431
Tb 9.995 0.000 7.420
Tb 12.523 0.000 0.943
Tb 15.237 0.000 3.082
Sm 3.864 0.000 7.515
Sm 6.302 0.000 1.186
Y 3.111 0.000 2.529
Y 6.595 0.000 4.990
Y 11.974 0.000 4.514
```

Results
N(E_F): 23.3 states/eV per cell
formation energy from the elements: 0.101 eV/atom
total magnetic moment: 0.0 μB/cell



Material: PrHoLuPb
Method: DFT, GGA-PBE
State: relaxed

extended XYZ file:
```
16
Lattice="7.813 0.000 0.000 0.000 7.813 0.000 0.000 0.000 7.813" Properties=species:S:1:pos:R:3 pbc="T T T"
Pr 0.000 0.000 0.000
Pr 0.000 3.907 3.907
Pr 3.907 0.000 3.907
Pr 3.907 3.907 0.000
Ho 0.000 0.000 3.907
Ho 0.000 3.907 0.000
Ho 3.907 0.000 0.000
Ho 3.907 3.907 3.907
Lu 1.953 1.953 5.860
Lu 1.953 5.860 1.953
Lu 5.860 1.953 1.953
Lu 5.860 5.860 5.860
Pb 1.953 1.953 1.953
Pb 1.953 5.860 5.860
Pb 5.860 1.953 5.860
Pb 5.860 5.860 1.953
```

Results
N(E_F): 29.4 states/eV per cell
formation energy from the elements: -0.120 eV/atom
total magnetic moment: 0.0 μB/cell



Material: OsRhSe2N
Method: DFT, GGA-PBE
State: relaxed

extended XYZ file:
```
5
Lattice="5.002 0.000 0.000 0.000 5.002 0.000 0.000 0.000 3.628" Properties=species:S:1:pos:R:3 pbc="T T T"
Os 0.000 0.000 0.000
Rh 2.501 2.501 1.814
Se 0.000 2.501 0.000
Se 2.501 0.000 0.000
N 0.000 0.000 1.814
```

Results
raw formation energy: 0.714 eV/atom
N(E_F): 4.8 states/eV per cell
total magnetic moment: 0.0 μB/cell
energy relative to the lowest polymorph listed for this composition: 0.00 eV per formula unit



Material: ZrGaNi5
Method: DFT, GGA-PBE
State: relaxed

extended XYZ file:
```
28
Lattice="7.755 0.000 0.000 0.000 4.741 0.000 0.000 0.000 9.823" Properties=species:S:1:pos:R:3 pbc="T T T"
Zr 1.926 1.185 0.596
Zr 1.951 3.555 5.507
Zr 5.804 1.185 4.316
Zr 5.829 3.555 9.227
Ga 1.123 3.555 8.403
Ga 2.755 1.185 3.492
Ga 5.000 3.555 6.331
Ga 6.633 1.185 1.419
Ni 0.402 3.555 0.847
Ni 0.499 0.028 2.990
Ni 0.499 2.342 2.990
Ni 0.728 1.185 5.082
Ni 1.462 1.185 7.377
Ni 2.416 3.555 2.466
Ni 3.150 3.555 0.170
Ni 3.378 2.398 7.901
Ni 3.378 4.712 7.901
Ni 3.476 1.185 5.758
Ni 4.279 3.555 4.065
Ni 4.377 0.028 1.921
Ni 4.377 2.342 1.921
Ni 4.606 1.185 9.652
Ni 5.339 1.185 7.357
Ni 6.294 3.555 2.446
Ni 7.027 3.555 4.741
Ni 7.256 2.398 6.833
Ni 7.256 4.712 6.833
Ni 7.354 1.185 8.976
```

Results
N(E_F): 21.7 states/eV per cell
formation energy from the elements: -0.377 eV/atom
total magnetic moment: 0.0 μB/cell



Material: Sm4GaTe2Pb
Method: DFT, GGA-PBE
State: relaxed

extended XYZ file:
```
8
Lattice="7.515 0.000 0.000 0.000 4.343 0.000 -2.514 0.000 7.543" Properties=species:S:1:pos:R:3 pbc="T T T"
Sm 1.196 0.000 1.809
Sm -0.066 2.172 5.706
Sm 5.067 2.172 1.836
Sm 3.806 0.000 5.734
Ga 0.000 2.172 0.000
Te -1.257 0.000 3.771
Te 2.501 2.172 3.771
Pb 3.757 0.000 0.000
```

Results
raw formation energy: -0.967 eV/atom
N(E_F): 4.5 states/eV per cell
total magnetic moment: 0.0 μB/cell



Material: Li2NdGaS4
Method: DFT, GGA-PBE
State: relaxed

extended XYZ file:
```
16
Lattice="-3.670 4.001 5.387 3.670 -4.001 5.387 3.670 4.001 -5.387" Properties=species:S:1:pos:R:3 pbc="T T T"
Li 0.000 0.000 0.000
Li -1.835 2.001 2.694
Li 0.000 4.001 0.000
Li 1.835 2.001 2.694
Nd 3.670 0.000 0.000
Nd 0.000 0.000 5.387
Ga 1.835 2.001 -2.694
Ga 1.835 -2.001 2.694
S 3.670 3.674 -2.810
S 3.670 -0.327 2.810
S 1.741 2.001 0.093
S 1.929 -2.001 5.481
S 1.741 6.002 -0.093
S 1.929 2.001 5.294
S 0.000 4.328 2.577
S 0.000 0.327 8.198
```

Results
raw formation energy: -1.249 eV/atom
total magnetic moment: 0.0 μB/cell



Material: Be2CrPbC
Method: DFT, GGA-PBE
State: relaxed

extended XYZ file:
```
5
Lattice="4.325 0.000 0.000 0.000 4.325 0.000 0.000 0.000 5.191" Properties=species:S:1:pos:R:3 pbc="T T T"
Be 0.000 2.163 0.000
Be 2.163 0.000 0.000
Cr 0.000 0.000 0.000
Pb 0.000 0.000 2.596
C 2.163 2.163 2.596
```

Results
N(E_F): 3.4 states/eV per cell
formation energy from the elements: 2.241 eV/atom
total magnetic moment: 1.2 μB/cell



Material: PmGa3Pd
Method: DFT, GGA-PBE
State: relaxed

extended XYZ file:
```
10
Lattice="1.930 -12.005 0.000 1.930 12.005 0.000 0.000 0.000 4.257" Properties=species:S:1:pos:R:3 pbc="T T T"
Pm 1.930 10.051 3.193
Pm 1.930 -10.051 1.064
Ga 1.930 4.660 1.064
Ga 1.930 3.162 3.193
Ga 1.930 0.638 3.193
Ga 1.930 -0.638 1.064
Ga 1.930 -3.162 1.064
Ga 1.930 -4.660 3.193
Pd 1.930 7.151 1.064
Pd 1.930 -7.151 3.193
```

Results
N(E_F): 4.1 states/eV per cell
formation energy from the elements: -0.549 eV/atom
total magnetic moment: 0.0 μB/cell
energy relative to the lowest polymorph listed for this composition: 0.76 eV per formula unit



Material: Pm5Y4Ho
Method: DFT, GGA-PBE
State: relaxed

extended XYZ file:
```
10
Lattice="-5.304 5.304 3.029 5.304 -5.304 3.029 5.304 5.304 -3.029" Properties=species:S:1:pos:R:3 pbc="T T T"
Pm 0.000 0.000 0.000
Pm 3.308 3.308 -1.407
Pm 1.996 -1.996 1.622
Pm -1.996 1.996 1.622
Pm 1.996 1.996 1.622
Y 5.304 -1.871 1.566
Y 5.304 1.871 1.566
Y -1.871 5.304 1.566
Y 1.871 5.304 1.566
Ho 0.000 0.000 3.233
```

Results
N(E_F): 14.8 states/eV per cell
formation energy from the elements: 0.249 eV/atom
total magnetic moment: 0.0 μB/cell
energy relative to the lowest polymorph listed for this composition: 0.88 eV per formula unit



Material: Na2TiI
Method: DFT, GGA-PBE
State: relaxed

extended XYZ file:
```
16
Lattice="9.143 0.000 0.000 0.000 9.143 0.000 0.000 0.000 5.955" Properties=species:S:1:pos:R:3 pbc="T T T"
Na 2.053 2.286 0.744
Na 2.286 6.625 2.233
Na 2.286 7.090 5.211
Na 2.518 2.286 3.722
Na 6.625 6.857 3.722
Na 6.857 2.053 5.211
Na 6.857 2.518 2.233
Na 7.090 6.857 0.744
Ti 0.000 0.000 2.978
Ti 0.000 4.572 4.466
Ti 4.572 0.000 1.489
Ti 4.572 4.572 0.000
I 0.000 0.000 0.000
I 0.000 4.572 1.489
I 4.572 0.000 4.466
I 4.572 4.572 2.978
```

Results
raw formation energy: 0.344 eV/atom
N(E_F): 17.9 states/eV per cell
total magnetic moment: 11.1 μB/cell
energy relative to the lowest polymorph listed for this composition: 0.00 eV per formula unit